Sc3WF | PBE with a Hubbard U | optimized geometry

Summary:
Total magnetic moment ... 0.32 μB/f.u.
Space-group type ... No. 221
Total energy ... -6.202 eV per atom
Theoretical density ... 6.17 g/cm³
DOS at the Fermi energy ... 3.953 states/eV per cell

Cell lengths 4.4969, 4.4969, 4.4969 Å; angles 90.00, 90.00, 90.00 degrees
With the nearest neighbours (Å) after each atom.
Sites, in units of the cell vectors:
Sc (0.0000, 0.5000, 0.0000)  2 F 2.25
Sc (0.0000, 0.0000, 0.5000)  2 F 2.25
Sc (0.5000, 0.0000, 0.0000)  2 F 2.25
W (0.5000, 0.5000, 0.5000)  12 Sc 3.18
F (0.0000, 0.0000, 0.0000)  6 Sc 2.25